The following is a DFT calculation (PBE-GGA) of crystalline LiMg5Zn at its relaxed geometry.

## Properties
Electronic total energy: -1.190 eV/atom
M_tot: 0.00 μB per formula unit
ΔE to the lowest computed polymorph: 397.2 meV/atom

Lattice parameters (Å, degrees): 4.9494 7.7315 6.9256 123.93 110.94 90.00
Last column: nearest neighbours and their distance in Å.
Atoms (fractional coordinates):
Li: 0.5831 0.5000 0.0000  6 Mg 2.45-2.61
Mg: 0.2434 0.2524 0.5048  1 Li 2.61, 1 Zn 2.62
Mg: 0.0782 0.5000 0.0000  2 Li 2.45-2.50
Mg: 0.7386 0.7476 0.4952  1 Li 2.61, 1 Zn 2.62
Mg: 0.4632 0.1820 0.0000  1 Li 2.53, 1 Mg 2.81
Mg: 0.4632 0.8180 0.0000  1 Li 2.53, 1 Mg 2.81
Zn: 0.9611 0.0000 0.0000  6 Mg 2.62-2.86